(1)
# NaAg2S2 (GGA-PBE, relaxed)
# Total magnetization, μB/cell: 0.00
# DFT total energy, eV/atom: -3.265
# Density of states at the Fermi level, states/eV/cell: 2.95
# Symmetry: I4/mmm, No. 139
data_NaAg2S2
_space_group_name_H-M_alt 'P 1'
_space_group_IT_number 1
_cell_length_a 4.972
_cell_length_b 4.972
_cell_length_c 8.855
_cell_angle_alpha 90.00
_cell_angle_beta 90.00
_cell_angle_gamma 90.00
loop_
_space_group_symop_operation_xyz
'x,y,z'
loop_
_atom_site_label
_atom_site_type_symbol
_atom_site_fract_x
_atom_site_fract_y
_atom_site_fract_z
Na1 Na 0.000 0.000 0.000
Na2 Na 0.500 0.500 0.500
Ag1 Ag 0.000 0.000 0.327
Ag2 Ag 0.000 0.000 0.673
Ag3 Ag 0.500 0.500 0.173
Ag4 Ag 0.500 0.500 0.827
S1 S 0.000 0.500 0.250
S2 S 0.000 0.500 0.750
S3 S 0.500 0.000 0.250
S4 S 0.500 0.000 0.750

=====

(2)
# NaAgS (GGA-PBE, relaxed)
# Total magnetization, μB/cell: 0.00
# DFT total energy, eV/atom: -3.379
# Density of states at the Fermi level, states/eV/cell: 0.00
# Symmetry: Cmme, No. 67
data_NaAgS
_space_group_name_H-M_alt 'P 1'
_space_group_IT_number 1
_cell_length_a 6.620
_cell_length_b 7.596
_cell_length_c 5.899
_cell_angle_alpha 90.00
_cell_angle_beta 90.00
_cell_angle_gamma 90.00
loop_
_space_group_symop_operation_xyz
'x,y,z'
loop_
_atom_site_label
_atom_site_type_symbol
_atom_site_fract_x
_atom_site_fract_y
_atom_site_fract_z
Na1 Na 0.250 0.000 0.000
Na2 Na 0.250 0.500 0.000
Na3 Na 0.750 0.000 0.000
Na4 Na 0.750 0.500 0.000
Ag1 Ag 0.250 0.250 0.500
Ag2 Ag 0.250 0.750 0.500
Ag3 Ag 0.750 0.250 0.500
Ag4 Ag 0.750 0.750 0.500
S1 S 0.000 0.250 0.209
S2 S 0.000 0.750 0.791
S3 S 0.500 0.250 0.791
S4 S 0.500 0.750 0.209

=====

Repeat the second record exactly.
# NaAgS (GGA-PBE, relaxed)
# Total magnetization, μB/cell: 0.00
# DFT total energy, eV/atom: -3.379
# Density of states at the Fermi level, states/eV/cell: 0.00
# Symmetry: Cmme, No. 67
data_NaAgS
_space_group_name_H-M_alt 'P 1'
_space_group_IT_number 1
_cell_length_a 6.620
_cell_length_b 7.596
_cell_length_c 5.899
_cell_angle_alpha 90.00
_cell_angle_beta 90.00
_cell_angle_gamma 90.00
loop_
_space_group_symop_operation_xyz
'x,y,z'
loop_
_atom_site_label
_atom_site_type_symbol
_atom_site_fract_x
_atom_site_fract_y
_atom_site_fract_z
Na1 Na 0.250 0.000 0.000
Na2 Na 0.250 0.500 0.000
Na3 Na 0.750 0.000 0.000
Na4 Na 0.750 0.500 0.000
Ag1 Ag 0.250 0.250 0.500
Ag2 Ag 0.250 0.750 0.500
Ag3 Ag 0.750 0.250 0.500
Ag4 Ag 0.750 0.750 0.500
S1 S 0.000 0.250 0.209
S2 S 0.000 0.750 0.791
S3 S 0.500 0.250 0.791
S4 S 0.500 0.750 0.209

=====

Please write out number 2 again, unchanged.
# NaAgS (GGA-PBE, relaxed)
# Total magnetization, μB/cell: 0.00
# DFT total energy, eV/atom: -3.379
# Density of states at the Fermi level, states/eV/cell: 0.00
# Symmetry: Cmme, No. 67
data_NaAgS
_space_group_name_H-M_alt 'P 1'
_space_group_IT_number 1
_cell_length_a 6.620
_cell_length_b 7.596
_cell_length_c 5.899
_cell_angle_alpha 90.00
_cell_angle_beta 90.00
_cell_angle_gamma 90.00
loop_
_space_group_symop_operation_xyz
'x,y,z'
loop_
_atom_site_label
_atom_site_type_symbol
_atom_site_fract_x
_atom_site_fract_y
_atom_site_fract_z
Na1 Na 0.250 0.000 0.000
Na2 Na 0.250 0.500 0.000
Na3 Na 0.750 0.000 0.000
Na4 Na 0.750 0.500 0.000
Ag1 Ag 0.250 0.250 0.500
Ag2 Ag 0.250 0.750 0.500
Ag3 Ag 0.750 0.250 0.500
Ag4 Ag 0.750 0.750 0.500
S1 S 0.000 0.250 0.209
S2 S 0.000 0.750 0.791
S3 S 0.500 0.250 0.791
S4 S 0.500 0.750 0.209